Below is crystalline Li4ZrIr at its relaxed geometry, with properties calculated at the PBE level.

The structure belongs to space group F-43m (No. 216); the cell edges are 6.973, 6.973 and 6.973 Å and the angles 90.00°, 90.00° and 90.00°. The asymmetric unit holds Li at (0.122, 0.122, 0.378), Zr at (0.000, 0.000, 0.000) and Ir at (0.250, 0.250, 0.750).

As for the crystal system: cubic. The density of states at the Fermi level comes out at 0.84 states/eV/atom. The formation energy comes out at -0.31 kcal/mol of atoms. The magnetization is 0.000 μB/f.u.